# Pm6AsPb3

A relaxed structure of Pm6AsPb3 (PBE-GGA, Alexandria via LeMat-Bulk).

a b c (Å): 11.9717 4.0596 13.6689
angles (deg): 90.00 107.36 90.00
Space group P2_1/m (No. 11)
One atom of each set of equivalent atoms:
Pm 0.0059 0.2500 0.3463 x2
Pm 0.1049 0.2500 0.9074 x2
Pm 0.2548 0.7500 0.3255 x2
Pm 0.3381 0.7500 0.7685 x2
Pm 0.3687 0.7500 0.1424 x2
Pm 0.3999 0.2500 0.5500 x2
As 0.4450 0.2500 0.3203 x2
Pb 0.1184 0.2500 0.1428 x2
Pb 0.1744 0.7500 0.5263 x2
Pb 0.3932 0.2500 0.9626 x2

Energy, eV/atom: -4.9487
E_form, meV per atom: -521
D(E_F), states/eV per atom: 0.968
M_tot, Bohr magnetons per cell: 3.71